No. 1
The following is a DFT calculation (GGA-PBE) of crystalline SrTiMo2 at its relaxed geometry.

The magnetic moment comes out at 0.000 μB/f.u. The density of states at the Fermi level is 32.9 states/eV per cell. Its relative energy among the computed polymorphs is 121.9 meV per atom. The formation energy comes out at 1.165 eV per atom.

The structure belongs to space group I4_1/amd (No. 141, origin choice 2); the cell edges are 4.910, 4.910 and 17.941 Å and the angles 90.00°, 90.00° and 90.00°. The distinct sites, in fractional coordinates, are Sr at (0.000, 0.250, 0.375), Ti at (0.000, 0.250, 0.875) and Mo at (0.000, 0.000, 0.000).



No. 2
The following is a DFT calculation (GGA-PBE) of crystalline SrTi2Mo at its relaxed geometry.

The magnetic moment comes out at 0.000 μB/f.u. The density of states at the Fermi level is 19.4 states/eV per cell. Its relative energy among the computed polymorphs is 366.7 meV per atom. The formation energy comes out at 1.096 eV per atom.

The structure belongs to space group I4_1/amd (No. 141, origin choice 2); the cell edges are 5.216, 5.216 and 16.761 Å and the angles 90.00°, 90.00° and 90.00°. The distinct sites, in fractional coordinates, are Sr at (0.000, 0.250, 0.375), Ti at (0.000, 0.000, 0.000) and Mo at (0.000, 0.250, 0.875).



No. 3
The following is a DFT calculation (GGA-PBE) of crystalline SrTiMo2 at its relaxed geometry.

The magnetic moment comes out at 0.000 μB/f.u. The density of states at the Fermi level is 31.8 states/eV per cell. Its relative energy among the computed polymorphs is 0.0 meV per atom. The formation energy comes out at 1.043 eV per atom.

The structure belongs to space group Fm-3m (No. 225); the cell edges are 6.750, 6.750 and 6.750 Å and the angles 90.00°, 90.00° and 90.00°. The distinct sites, in fractional coordinates, are Sr at (0.000, 0.000, 0.000), Ti at (0.000, 0.000, 0.500) and Mo at (0.250, 0.250, 0.250).